a | Density functional theory data (PBE-GGA) for Tl2O after structural relaxation.

abc: 3.621 3.621 13.386
angles: 97.80 97.80 60.02
Fractional positions:
1 Tl 0.126 0.126 0.363
2 Tl 0.283 0.283 0.866
3 Tl 0.717 0.717 0.134
4 Tl 0.874 0.874 0.637
5 O 0.422 0.422 0.249
6 O 0.578 0.578 0.751

Values from the calculation:
space-group type	C2/m



b | Density functional theory data (PBE-GGA) for Tl2O after structural relaxation.

abc: 6.413 3.482 13.883
angles: 90.00 90.00 90.00
Fractional positions:
1 Tl 0.210 0.250 0.182
2 Tl 0.215 0.750 0.436
3 Tl 0.285 0.250 0.936
4 Tl 0.290 0.750 0.682
5 Tl 0.710 0.250 0.318
6 Tl 0.715 0.750 0.064
7 Tl 0.785 0.250 0.564
8 Tl 0.790 0.750 0.818
9 O 0.163 0.250 0.574
10 O 0.337 0.750 0.074
11 O 0.663 0.250 0.926
12 O 0.837 0.750 0.426

Values from the calculation:
space-group type	Pnma



a (16 meV/atom below the next structure)



a | Density functional theory data (PBE-GGA) for TlO4 after structural relaxation.

abc: 4.371 4.371 4.371
angles: 90.00 90.00 90.00
Fractional positions:
1 Tl 0.000 0.000 0.000
2 O 0.000 0.000 0.500
3 O 0.000 0.500 0.000
4 O 0.500 0.000 0.000
5 O 0.500 0.500 0.500

Values from the calculation:
Fermi-level density of states	6.0	states/eV/cell
space-group type	Pm-3m



b | Density functional theory data (PBE-GGA) for TlO4 after structural relaxation.

abc: 4.273 6.223 7.992
angles: 74.05 89.99 70.41
Fractional positions:
1 Tl 0.000 0.000 0.000
2 Tl 0.050 0.894 0.520
3 O 0.208 0.288 0.245
4 O 0.222 0.262 0.656
5 O 0.504 0.288 0.245
6 O 0.522 0.260 0.656
7 O 0.606 0.783 0.196
8 O 0.615 0.764 0.817
9 O 0.623 0.747 0.367
10 O 0.726 0.542 0.901

Values from the calculation:
Fermi-level density of states	5.0	states/eV/cell
space-group type	P1



b (1203 meV/atom below the next structure)



a | Density functional theory data (PBE-GGA) for Tm2TlO after structural relaxation.

abc: 7.481 3.721 13.162
angles: 90.00 90.00 90.00
Fractional positions:
1 Tm 0.103 0.250 0.222
2 Tm 0.182 0.250 0.957
3 Tm 0.318 0.750 0.457
4 Tm 0.397 0.750 0.722
5 Tm 0.603 0.250 0.278
6 Tm 0.682 0.250 0.543
7 Tm 0.818 0.750 0.043
8 Tm 0.897 0.750 0.778
9 Tl 0.092 0.250 0.625
10 Tl 0.408 0.750 0.125
11 Tl 0.592 0.250 0.875
12 Tl 0.908 0.750 0.375
13 O 0.041 0.750 0.920
14 O 0.459 0.250 0.420
15 O 0.541 0.750 0.580
16 O 0.959 0.250 0.080

Values from the calculation:
Fermi-level density of states	5.6	states/eV/cell
space-group type	Pnma



b | Density functional theory data (PBE-GGA) for Tm2TlO after structural relaxation.

abc: 4.489 4.489 8.543
angles: 94.44 94.44 90.17
Fractional positions:
1 Tm 0.248 0.752 0.000
2 Tm 0.294 0.294 0.329
3 Tm 0.706 0.706 0.671
4 Tm 0.752 0.248 0.000
5 Tl 0.199 0.199 0.689
6 Tl 0.801 0.801 0.311
7 O 0.267 0.267 0.065
8 O 0.733 0.733 0.935

Values from the calculation:
Fermi-level density of states	3.8	states/eV/cell
space-group type	C2/m



a (27 meV/atom below the next structure)